1.
First-principles (PBE-GGA) data for a geometry-optimized LaSI2O structure, as listed in Alexandria via LeMat-Bulk.

```
data_LaSI2O
_chemical_formula_sum 'La1 S1 I2 O1'
_symmetry_space_group_name_H-M 'P 1'
_symmetry_Int_Tables_number 1
_cell_length_a 6.577
_cell_length_b 6.577
_cell_length_c 4.285
_cell_angle_alpha 90.00
_cell_angle_beta 90.00
_cell_angle_gamma 90.00
loop_
_symmetry_equiv_pos_as_xyz
'x,y,z'
loop_
_atom_site_label
_atom_site_fract_x
_atom_site_fract_y
_atom_site_fract_z
I1 0.000 0.500 0.000
I2 0.500 0.000 0.000
S1 0.500 0.500 0.500
O1 0.000 0.000 0.500
La1 0.000 0.000 0.000
```

Output
DFT total energy = -4.228 eV per atom
ρ = 3.95 g/cm³
ΔE_f (raw) = -4.03 eV per formula unit
total moment = 2.8 μB/f.u.

2.
First-principles (PBE-GGA) data for a geometry-optimized Tm4SbTe2Se structure, as listed in Alexandria via LeMat-Bulk.

```
data_Tm4SbTe2Se
_chemical_formula_sum 'Tm4 Sb1 Te2 Se1'
_symmetry_space_group_name_H-M 'P 1'
_symmetry_Int_Tables_number 1
_cell_length_a 4.231
_cell_length_b 7.422
_cell_length_c 7.316
_cell_angle_alpha 70.78
_cell_angle_beta 90.00
_cell_angle_gamma 90.00
loop_
_symmetry_equiv_pos_as_xyz
'x,y,z'
loop_
_atom_site_label
_atom_site_fract_x
_atom_site_fract_y
_atom_site_fract_z
Tm1 0.000 0.721 0.773
Tm2 0.000 0.279 0.227
Tm3 0.500 0.730 0.243
Tm4 0.500 0.270 0.757
Sb1 0.000 0.500 0.500
Te1 0.000 0.000 0.000
Te2 0.500 0.000 0.500
Se1 0.500 0.500 0.000
```

Output
DFT total energy = -5.264 eV per atom
ρ = 8.66 g/cm³
ΔE_f (raw) = -10.33 eV per formula unit
total moment = 0.0 μB/f.u.

3.
First-principles (PBE-GGA) data for a geometry-optimized LiAuSe2 structure, as listed in Alexandria via LeMat-Bulk.

```
data_LiAuSe2
_chemical_formula_sum 'Li4 Au4 Se8'
_symmetry_space_group_name_H-M 'P 1'
_symmetry_Int_Tables_number 1
_cell_length_a 5.500
_cell_length_b 5.499
_cell_length_c 10.979
_cell_angle_alpha 89.90
_cell_angle_beta 90.00
_cell_angle_gamma 90.00
loop_
_symmetry_equiv_pos_as_xyz
'x,y,z'
loop_
_atom_site_label
_atom_site_fract_x
_atom_site_fract_y
_atom_site_fract_z
Li1 0.247 0.000 0.375
Li2 0.753 0.000 0.625
Li3 0.247 0.500 0.125
Li4 0.753 0.500 0.875
Au1 0.251 0.500 0.625
Au2 0.749 0.500 0.375
Au3 0.251 0.000 0.875
Au4 0.749 0.000 0.125
Se1 0.751 0.000 0.894
Se2 0.249 0.000 0.106
Se3 0.751 0.500 0.606
Se4 0.249 0.500 0.394
Se5 0.748 0.500 0.144
Se6 0.252 0.500 0.856
Se7 0.748 0.000 0.356
Se8 0.252 0.000 0.644
```

Output
DFT total energy = -3.468 eV per atom
ρ = 7.24 g/cm³
ΔE_f (raw) = -1.71 eV per formula unit
total moment = 0.0 μB/f.u.

4.
First-principles (PBE-GGA) data for a geometry-optimized LaSmI6 structure, as listed in Alexandria via LeMat-Bulk.

```
data_LaSmI6
_chemical_formula_sum 'La1 Sm1 I6'
_symmetry_space_group_name_H-M 'P 1'
_symmetry_Int_Tables_number 1
_cell_length_a 7.827
_cell_length_b 7.827
_cell_length_c 8.425
_cell_angle_alpha 62.30
_cell_angle_beta 62.31
_cell_angle_gamma 60.00
loop_
_symmetry_equiv_pos_as_xyz
'x,y,z'
loop_
_atom_site_label
_atom_site_fract_x
_atom_site_fract_y
_atom_site_fract_z
La1 0.000 0.000 0.000
Sm1 0.500 0.500 0.500
I1 0.091 0.417 0.747
I2 0.745 0.091 0.747
I3 0.583 0.255 0.253
I4 0.255 0.909 0.253
I5 0.909 0.583 0.253
I6 0.417 0.745 0.747
```

Output
DFT total energy = -3.774 eV per atom
ρ = 4.63 g/cm³
ΔE_f (raw) = -11.24 eV per formula unit
total moment = 0.0 μB/f.u.

5.
First-principles (PBE-GGA) data for a geometry-optimized Sr3Cd2Hg4 structure, as listed in Alexandria via LeMat-Bulk.

```
data_Sr3Cd2Hg4
_chemical_formula_sum 'Sr3 Cd2 Hg4'
_symmetry_space_group_name_H-M 'P 1'
_symmetry_Int_Tables_number 1
_cell_length_a 5.032
_cell_length_b 6.485
_cell_length_c 9.486
_cell_angle_alpha 72.32
_cell_angle_beta 74.62
_cell_angle_gamma 67.18
loop_
_symmetry_equiv_pos_as_xyz
'x,y,z'
loop_
_atom_site_label
_atom_site_fract_x
_atom_site_fract_y
_atom_site_fract_z
Sr1 0.342 0.641 0.675
Sr2 0.000 0.000 0.000
Sr3 0.658 0.359 0.325
Cd1 0.375 0.958 0.291
Cd2 0.625 0.042 0.709
Hg1 0.281 0.380 0.059
Hg2 0.719 0.620 0.941
Hg3 0.068 0.262 0.601
Hg4 0.932 0.738 0.399
```

Output
formation energy from the elements = -0.447 eV/atom
DFT total energy = -1.345 eV per atom
ρ = 7.99 g/cm³
total moment = 0.0 μB/f.u.

6.
First-principles (PBE-GGA) data for a geometry-optimized VNi3Rh2 structure, as listed in Alexandria via LeMat-Bulk.

```
data_VNi3Rh2
_chemical_formula_sum 'V2 Ni6 Rh4'
_symmetry_space_group_name_H-M 'P 1'
_symmetry_Int_Tables_number 1
_cell_length_a 4.857
_cell_length_b 4.857
_cell_length_c 7.489
_cell_angle_alpha 100.68
_cell_angle_beta 100.68
_cell_angle_gamma 115.37
loop_
_symmetry_equiv_pos_as_xyz
'x,y,z'
loop_
_atom_site_label
_atom_site_fract_x
_atom_site_fract_y
_atom_site_fract_z
V1 0.665 0.665 0.329
V2 0.335 0.335 0.671
Ni1 0.333 0.836 0.168
Ni2 0.164 0.667 0.832
Ni3 0.667 0.164 0.832
Ni4 0.836 0.333 0.168
Ni5 0.169 0.169 0.339
Ni6 0.831 0.831 0.661
Rh1 0.250 0.750 0.500
Rh2 0.751 0.751 0.000
Rh3 0.750 0.250 0.500
Rh4 0.249 0.249 0.000
```

Output
formation energy from the elements = -0.081 eV/atom
DFT total energy = -6.942 eV per atom
ρ = 9.60 g/cm³
total moment = 0.0 μB/f.u.

7.
First-principles (PBE-GGA) data for a geometry-optimized Pm2CdGePd6 structure, as listed in Alexandria via LeMat-Bulk.

```
data_Pm2CdGePd6
_chemical_formula_sum 'Pm2 Cd1 Ge1 Pd6'
_symmetry_space_group_name_H-M 'P 1'
_symmetry_Int_Tables_number 1
_cell_length_a 6.430
_cell_length_b 6.751
_cell_length_c 6.761
_cell_angle_alpha 48.33
_cell_angle_beta 86.48
_cell_angle_gamma 106.84
loop_
_symmetry_equiv_pos_as_xyz
'x,y,z'
loop_
_atom_site_label
_atom_site_fract_x
_atom_site_fract_y
_atom_site_fract_z
Pm1 0.753 0.252 0.498
Pm2 0.247 0.748 0.502
Cd1 0.000 0.000 0.000
Ge1 0.500 0.500 0.000
Pd1 0.319 0.310 0.484
Pd2 0.931 0.749 0.817
Pd3 0.321 0.805 0.988
Pd4 0.679 0.195 0.012
Pd5 0.069 0.251 0.183
Pd6 0.681 0.690 0.516
```

Output
formation energy from the elements = -0.597 eV/atom
DFT total energy = -5.216 eV per atom
ρ = 9.43 g/cm³
total moment = 0.0 μB/f.u.

8.
First-principles (PBE-GGA) data for a geometry-optimized LiDyNp2As4 structure, as listed in Alexandria via LeMat-Bulk.

```
data_LiDyNp2As4
_chemical_formula_sum 'Li1 Dy1 Np2 As4'
_symmetry_space_group_name_H-M 'P 1'
_symmetry_Int_Tables_number 1
_cell_length_a 4.117
_cell_length_b 7.112
_cell_length_c 6.991
_cell_angle_alpha 109.62
_cell_angle_beta 90.00
_cell_angle_gamma 90.00
loop_
_symmetry_equiv_pos_as_xyz
'x,y,z'
loop_
_atom_site_label
_atom_site_fract_x
_atom_site_fract_y
_atom_site_fract_z
Li1 0.500 0.500 0.000
Dy1 0.000 0.000 0.000
Np1 0.500 0.000 0.500
Np2 0.000 0.500 0.500
As1 0.500 0.252 0.253
As2 0.500 0.748 0.747
As3 0.000 0.247 0.740
As4 0.000 0.753 0.260
```

Output
formation energy from the elements = -0.751 eV/atom
DFT total energy = -7.125 eV per atom
ρ = 8.12 g/cm³
total moment = 0.2 μB/f.u.

9.
First-principles (PBE-GGA) data for a geometry-optimized KSr2Mo structure, as listed in Alexandria via LeMat-Bulk.

```
data_KSr2Mo
_chemical_formula_sum 'K1 Sr2 Mo1'
_symmetry_space_group_name_H-M 'P 1'
_symmetry_Int_Tables_number 1
_cell_length_a 6.081
_cell_length_b 6.081
_cell_length_c 6.081
_cell_angle_alpha 60.00
_cell_angle_beta 60.00
_cell_angle_gamma 60.00
loop_
_symmetry_equiv_pos_as_xyz
'x,y,z'
loop_
_atom_site_label
_atom_site_fract_x
_atom_site_fract_y
_atom_site_fract_z
K1 0.500 0.500 0.500
Mo1 0.750 0.750 0.750
Sr1 0.000 0.000 0.000
Sr2 0.250 0.250 0.250
```

Output
formation energy from the elements = 1.074 eV/atom
DFT total energy = -2.749 eV per atom
ρ = 3.24 g/cm³
total moment = 3.2 μB/f.u.

10.
First-principles (PBE-GGA) data for a geometry-optimized LiPm2Pr structure, as listed in Alexandria via LeMat-Bulk.

```
data_LiPm2Pr
_chemical_formula_sum 'Li1 Pm2 Pr1'
_symmetry_space_group_name_H-M 'P 1'
_symmetry_Int_Tables_number 1
_cell_length_a 3.724
_cell_length_b 5.841
_cell_length_c 5.841
_cell_angle_alpha 90.00
_cell_angle_beta 90.00
_cell_angle_gamma 90.00
loop_
_symmetry_equiv_pos_as_xyz
'x,y,z'
loop_
_atom_site_label
_atom_site_fract_x
_atom_site_fract_y
_atom_site_fract_z
Pr1 0.500 0.500 0.500
Li1 0.500 0.000 0.000
Pm1 0.000 0.000 0.500
Pm2 0.000 0.500 0.000
```

Output
formation energy from the elements = 0.139 eV/atom
DFT total energy = -3.910 eV per atom
ρ = 5.72 g/cm³
total moment = 0.0 μB/f.u.